(1)
First-principles (PBE-GGA) data for an optimized crystal structure of CrSb2S, as listed in Alexandria.

Cell lengths 6.0317, 6.0317, 7.8192 Å; angles 67.31, 67.31, 90.00 degrees
Last column: nearest neighbours and their distance in Å.
Fractional positions:
Sb 0.6379 0.1250 0.2500  2 Cr 2.65, 2 S 2.73
Sb 0.1121 0.6250 0.2500  2 Cr 2.65, 2 S 2.73
Sb 0.3750 0.3621 0.7500  2 Cr 2.65, 2 S 2.73
Sb 0.8750 0.8879 0.7500  2 Cr 2.65, 2 S 2.73
S 0.5000 0.5000 0.0000  4 Sb 2.73
S 0.2500 0.7500 0.5000  4 Sb 2.73
Cr 0.0000 0.0000 0.0000  4 Sb 2.65
Cr 0.7500 0.2500 0.5000  4 Sb 2.65

Computed properties:
Symmetry: I-42d, No. 122
Formation energy from raw total energies, kJ/mol of atoms: 44

***

(2)
First-principles (PBE-GGA) data for an optimized crystal structure of TlZnGa, as listed in Alexandria.

Cell lengths 4.3159, 5.1744, 6.1888 Å; angles 98.08, 89.59, 90.10 degrees
Last column: nearest neighbours and their distance in Å.
Fractional positions:
Zn 0.3932 0.8834 0.9118  3 Ga 2.65-2.77, 2 Zn 2.68
Zn 0.8948 0.0304 0.7025  4 Ga 2.65-2.96, 2 Zn 2.68
Tl 0.3915 0.7148 0.3691  4 Zn 3.08-3.35, 1 Ga 3.10, 2 Tl 3.43
Tl 0.8925 0.2001 0.2443  4 Zn 3.08-3.34, 1 Ga 3.10, 2 Tl 3.43
Ga 0.8932 0.5849 0.9024  4 Zn 2.65-2.96, 2 Ga 2.72
Ga 0.3951 0.3282 0.7098  3 Zn 2.65-2.77, 2 Ga 2.72

Computed properties:
Symmetry: P1, No. 1
Calculated formation energy, eV per atom: 0.075

***

(3)
First-principles (PBE-GGA) data for an optimized crystal structure of Cd2BiRh2, as listed in Alexandria.

Cell lengths 3.9181, 3.9181, 7.2248 Å; angles 74.27, 74.27, 90.00 degrees
Last column: nearest neighbours and their distance in Å.
Fractional positions:
Rh 0.4012 0.4012 0.1975  1 Rh 2.64, 4 Cd 2.81
Rh 0.5988 0.5988 0.8025  1 Rh 2.64, 4 Cd 2.81
Bi 0.0000 0.0000 0.0000  8 Rh 3.07
Cd 0.7500 0.2500 0.5000  4 Cd 2.77, 4 Rh 2.81
Cd 0.2500 0.7500 0.5000  4 Cd 2.77, 4 Rh 2.81

Computed properties:
Symmetry: I4/mmm, No. 139
E above lowest polymorph, meV/atom: 158
Calculated formation energy, eV per atom: 0.119

***

Number 1: total magnetization 0.99 μB/atom, N(E_F) 2.4 states/eV/cell. Number 2: total magnetization 0.00 μB/atom, N(E_F) 2.3 states/eV/cell. Number 3: total magnetization 0.00 μB/atom, N(E_F) 4.3 states/eV/cell.